[1]
Entry from the Alexandria database: a relaxed InBiI3 crystal (PBE-GGA).

The structure belongs to space group Pm-3m (No. 221); the cell edges are 5.997, 5.997 and 5.997 Å and the angles 90.00°, 90.00° and 90.00°. Symmetry generates all atoms from In at (0.000, 0.000, 0.000), Bi at (0.500, 0.500, 0.500) and I at (0.000, 0.000, 0.500).

The calculation puts the excess energy over the best structure of this formula in the dataset at 241 kJ/mol of formula units. The calculation puts the size of the total moment at 2.116 μB/f.u. For the total energy, the calculation gives -0.0785 Ha/atom. The raw formation energy comes out at 0.117 eV per atom. The value obtained for the density of states at the Fermi level is 1.49 states/eV per atom.

[2]
Entry from the Alexandria database: a relaxed YNbSb2Te crystal (PBE-GGA).

The structure belongs to space group P4/mmm (No. 123); the cell edges are 5.640, 5.640 and 5.670 Å and the angles 90.00°, 90.00° and 90.00°. Symmetry generates all atoms from Y at (0.000, 0.000, 0.000), Nb at (0.500, 0.500, 0.500), Sb at (0.000, 0.500, 0.000) and Te at (0.000, 0.000, 0.500).

The calculation puts the excess energy over the best structure of this formula in the dataset at 462 kJ/mol of formula units. The calculation puts the size of the total moment at 0.089 μB/f.u. For the total energy, the calculation gives -0.1670 Ha/atom. The raw formation energy comes out at 1.040 eV per atom. The value obtained for the density of states at the Fermi level is 2.00 states/eV per atom.

What is the formula in the first record?
InBiI3

Look up the raw formation energy of the second one.
1.040 eV per atom

The highest raw formation energy belongs to which entry?
YNbSb2Te

Among the records above, which one has the highest excess energy over the best structure of this formula in the dataset?
YNbSb2Te